1.
The following is a DFT calculation (PBE) of crystalline SrSmAgPb at its relaxed geometry.

Geometry as CIF:
```
data_SrSmAgPb
_chemical_formula_sum 'Sr1 Sm1 Ag1 Pb1'
_symmetry_space_group_name_H-M 'P 1'
_symmetry_Int_Tables_number 1
_cell_length_a 5.524
_cell_length_b 5.524
_cell_length_c 5.524
_cell_angle_alpha 60.00
_cell_angle_beta 60.00
_cell_angle_gamma 60.00
loop_
_symmetry_equiv_pos_as_xyz
'x,y,z'
loop_
_atom_site_label
_atom_site_type_symbol
_atom_site_fract_x
_atom_site_fract_y
_atom_site_fract_z
Pb1 Pb 0.750 0.750 0.750
Sr1 Sr 0.500 0.500 0.500
Ag1 Ag 0.250 0.250 0.250
Sm1 Sm 0.000 0.000 0.000
```

## Properties
As for the total energy: -3.6498 eV/atom. The symmetry is No. 216. The formation energy comes out at -1.64 eV/f.u.

---

2.
The following is a DFT calculation (PBE) of crystalline SmAgTe4Pb2 at its relaxed geometry.

Geometry as CIF:
```
data_SmAgTe4Pb2
_chemical_formula_sum 'Sm1 Ag1 Te4 Pb2'
_symmetry_space_group_name_H-M 'P 1'
_symmetry_Int_Tables_number 1
_cell_length_a 4.509
_cell_length_b 7.938
_cell_length_c 7.782
_cell_angle_alpha 70.19
_cell_angle_beta 90.00
_cell_angle_gamma 90.00
loop_
_symmetry_equiv_pos_as_xyz
'x,y,z'
loop_
_atom_site_label
_atom_site_type_symbol
_atom_site_fract_x
_atom_site_fract_y
_atom_site_fract_z
Sm1 Sm 0.000 0.500 0.500
Ag1 Ag 0.500 0.500 0.000
Te1 Te 0.000 0.728 0.763
Te2 Te 0.000 0.272 0.237
Te3 Te 0.500 0.739 0.254
Te4 Te 0.500 0.261 0.746
Pb1 Pb 0.000 0.000 0.000
Pb2 Pb 0.500 0.000 0.500
```

## Properties
As for the total energy: -4.0507 eV/atom. The symmetry is No. 10. The uncorrected formation energy is -0.606 eV per atom.

---

3.
The following is a DFT calculation (PBE) of crystalline Sm2AgTe6Pb3 at its relaxed geometry.

Geometry as CIF:
```
data_Sm2AgTe6Pb3
_chemical_formula_sum 'Sm2 Ag1 Te6 Pb3'
_symmetry_space_group_name_H-M 'P 1'
_symmetry_Int_Tables_number 1
_cell_length_a 4.463
_cell_length_b 9.152
_cell_length_c 10.251
_cell_angle_alpha 102.90
_cell_angle_beta 102.57
_cell_angle_gamma 90.00
loop_
_symmetry_equiv_pos_as_xyz
'x,y,z'
loop_
_atom_site_label
_atom_site_type_symbol
_atom_site_fract_x
_atom_site_fract_y
_atom_site_fract_z
Sm1 Sm 0.834 0.658 0.667
Sm2 Sm 0.166 0.342 0.333
Ag1 Ag 0.500 0.000 0.000
Te1 Te 0.325 0.898 0.651
Te2 Te 0.669 0.586 0.338
Te3 Te 0.675 0.102 0.349
Te4 Te 0.008 0.230 0.015
Te5 Te 0.992 0.770 0.985
Te6 Te 0.331 0.414 0.662
Pb1 Pb 0.500 0.500 0.000
Pb2 Pb 0.841 0.152 0.683
Pb3 Pb 0.159 0.848 0.317
```

## Properties
As for the total energy: -4.1975 eV/atom. The symmetry is No. 12. The uncorrected formation energy is -0.675 eV per atom.

---

4.
The following is a DFT calculation (PBE) of crystalline Sm3AgTe8Pb3 at its relaxed geometry.

Geometry as CIF:
```
data_Sm3AgTe8Pb3
_chemical_formula_sum 'Sm3 Ag1 Te8 Pb3'
_symmetry_space_group_name_H-M 'P 1'
_symmetry_Int_Tables_number 1
_cell_length_a 8.957
_cell_length_b 8.955
_cell_length_c 9.162
_cell_angle_alpha 119.24
_cell_angle_beta 90.00
_cell_angle_gamma 120.01
loop_
_symmetry_equiv_pos_as_xyz
'x,y,z'
loop_
_atom_site_label
_atom_site_type_symbol
_atom_site_fract_x
_atom_site_fract_y
_atom_site_fract_z
Sm1 Sm 0.500 0.000 0.500
Sm2 Sm 0.500 0.500 0.500
Sm3 Sm 0.000 0.500 0.500
Ag1 Ag 0.000 0.000 0.500
Te1 Te 0.253 0.506 0.259
Te2 Te 0.747 0.494 0.741
Te3 Te 0.756 0.512 0.266
Te4 Te 0.244 0.488 0.734
Te5 Te 0.756 0.010 0.266
Te6 Te 0.244 0.990 0.734
Te7 Te 0.255 0.010 0.266
Te8 Te 0.745 0.990 0.734
Pb1 Pb 0.000 0.000 0.000
Pb2 Pb 0.000 0.500 0.000
Pb3 Pb 0.500 0.500 0.000
```

## Properties
As for the total energy: -4.3275 eV/atom. The symmetry is No. 166. The uncorrected formation energy is -0.776 eV per atom.

---

5.
The following is a DFT calculation (PBE) of crystalline SmAgTe3Pb at its relaxed geometry.

Geometry as CIF:
```
data_SmAgTe3Pb
_chemical_formula_sum 'Sm2 Ag2 Te6 Pb2'
_symmetry_space_group_name_H-M 'P 1'
_symmetry_Int_Tables_number 1
_cell_length_a 4.410
_cell_length_b 9.063
_cell_length_c 9.996
_cell_angle_alpha 104.07
_cell_angle_beta 90.00
_cell_angle_gamma 90.00
loop_
_symmetry_equiv_pos_as_xyz
'x,y,z'
loop_
_atom_site_label
_atom_site_type_symbol
_atom_site_fract_x
_atom_site_fract_y
_atom_site_fract_z
Sm1 Sm 0.250 0.678 0.174
Sm2 Sm 0.750 0.322 0.826
Ag1 Ag 0.250 0.083 0.584
Ag2 Ag 0.750 0.917 0.416
Te1 Te 0.750 0.909 0.129
Te2 Te 0.250 0.091 0.871
Te3 Te 0.250 0.746 0.495
Te4 Te 0.750 0.254 0.505
Te5 Te 0.750 0.426 0.156
Te6 Te 0.250 0.574 0.844
Pb1 Pb 0.250 0.191 0.244
Pb2 Pb 0.750 0.809 0.756
```

## Properties
As for the total energy: -4.1850 eV/atom. The symmetry is No. 11. The uncorrected formation energy is -0.734 eV per atom.

---

6.
The following is a DFT calculation (PBE) of crystalline SmThAgPb at its relaxed geometry.

Geometry as CIF:
```
data_SmThAgPb
_chemical_formula_sum 'Sm1 Th1 Ag1 Pb1'
_symmetry_space_group_name_H-M 'P 1'
_symmetry_Int_Tables_number 1
_cell_length_a 5.411
_cell_length_b 5.411
_cell_length_c 5.411
_cell_angle_alpha 60.00
_cell_angle_beta 60.00
_cell_angle_gamma 60.00
loop_
_symmetry_equiv_pos_as_xyz
'x,y,z'
loop_
_atom_site_label
_atom_site_type_symbol
_atom_site_fract_x
_atom_site_fract_y
_atom_site_fract_z
Pb1 Pb 0.750 0.750 0.750
Ag1 Ag 0.250 0.250 0.250
Sm1 Sm 0.000 0.000 0.000
Th1 Th 0.500 0.500 0.500
```

## Properties
As for the total energy: -4.9183 eV/atom. The symmetry is No. 216. The formation energy comes out at -0.97 eV/f.u.

---

7.
The following is a DFT calculation (PBE) of crystalline SmTmAgPb at its relaxed geometry.

Geometry as CIF:
```
data_SmTmAgPb
_chemical_formula_sum 'Sm1 Tm1 Ag1 Pb1'
_symmetry_space_group_name_H-M 'P 1'
_symmetry_Int_Tables_number 1
_cell_length_a 5.305
_cell_length_b 5.305
_cell_length_c 5.305
_cell_angle_alpha 60.00
_cell_angle_beta 60.00
_cell_angle_gamma 60.00
loop_
_symmetry_equiv_pos_as_xyz
'x,y,z'
loop_
_atom_site_label
_atom_site_type_symbol
_atom_site_fract_x
_atom_site_fract_y
_atom_site_fract_z
Pb1 Pb 0.750 0.750 0.750
Tm1 Tm 0.000 0.000 0.000
Ag1 Ag 0.250 0.250 0.250
Sm1 Sm 0.500 0.500 0.500
```

## Properties
As for the total energy: -4.3189 eV/atom. The symmetry is No. 216. The formation energy comes out at -1.53 eV/f.u.

---

8.
The following is a DFT calculation (PBE) of crystalline SmYAgPb at its relaxed geometry.

Geometry as CIF:
```
data_SmYAgPb
_chemical_formula_sum 'Sm1 Y1 Ag1 Pb1'
_symmetry_space_group_name_H-M 'P 1'
_symmetry_Int_Tables_number 1
_cell_length_a 5.339
_cell_length_b 5.339
_cell_length_c 5.339
_cell_angle_alpha 60.00
_cell_angle_beta 60.00
_cell_angle_gamma 60.00
loop_
_symmetry_equiv_pos_as_xyz
'x,y,z'
loop_
_atom_site_label
_atom_site_type_symbol
_atom_site_fract_x
_atom_site_fract_y
_atom_site_fract_z
Pb1 Pb 0.000 0.000 0.000
Y1 Y 0.750 0.750 0.750
Ag1 Ag 0.500 0.500 0.500
Sm1 Sm 0.250 0.250 0.250
```

## Properties
As for the total energy: -4.8567 eV/atom. The symmetry is No. 216. The formation energy comes out at -1.68 eV/f.u.

---

9.
The following is a DFT calculation (PBE) of crystalline Sm2YAg2Pb2 at its relaxed geometry.

Geometry as CIF:
```
data_Sm2YAg2Pb2
_chemical_formula_sum 'Sm2 Y1 Ag2 Pb2'
_symmetry_space_group_name_H-M 'P 1'
_symmetry_Int_Tables_number 1
_cell_length_a 4.963
_cell_length_b 4.963
_cell_length_c 9.234
_cell_angle_alpha 74.41
_cell_angle_beta 74.41
_cell_angle_gamma 60.00
loop_
_symmetry_equiv_pos_as_xyz
'x,y,z'
loop_
_atom_site_label
_atom_site_type_symbol
_atom_site_fract_x
_atom_site_fract_y
_atom_site_fract_z
Sm1 Sm 0.135 0.135 0.594
Sm2 Sm 0.865 0.865 0.406
Y1 Y 0.000 0.000 0.000
Ag1 Ag 0.561 0.561 0.316
Ag2 Ag 0.439 0.439 0.684
Pb1 Pb 0.731 0.731 0.808
Pb2 Pb 0.269 0.269 0.192
```

## Properties
As for the total energy: -4.4096 eV/atom. The symmetry is No. 166. The formation energy comes out at -1.85 eV/f.u.

---

10.
The following is a DFT calculation (PBE) of crystalline SmZnAgPb at its relaxed geometry.

Geometry as CIF:
```
data_SmZnAgPb
_chemical_formula_sum 'Sm1 Zn1 Ag1 Pb1'
_symmetry_space_group_name_H-M 'P 1'
_symmetry_Int_Tables_number 1
_cell_length_a 5.090
_cell_length_b 5.090
_cell_length_c 5.090
_cell_angle_alpha 60.00
_cell_angle_beta 60.00
_cell_angle_gamma 60.00
loop_
_symmetry_equiv_pos_as_xyz
'x,y,z'
loop_
_atom_site_label
_atom_site_type_symbol
_atom_site_fract_x
_atom_site_fract_y
_atom_site_fract_z
Pb1 Pb 0.500 0.500 0.500
Zn1 Zn 0.750 0.750 0.750
Ag1 Ag 0.250 0.250 0.250
Sm1 Sm 0.000 0.000 0.000
```

## Properties
As for the total energy: -3.3706 eV/atom. The symmetry is No. 216. The formation energy comes out at -0.93 eV/f.u.

---

11.
The following is a DFT calculation (PBE) of crystalline AgSnPb2 at its relaxed geometry.

Geometry as CIF:
```
data_AgSnPb2
_chemical_formula_sum 'Ag1 Sn1 Pb2'
_symmetry_space_group_name_H-M 'P 1'
_symmetry_Int_Tables_number 1
_cell_length_a 3.577
_cell_length_b 3.577
_cell_length_c 8.442
_cell_angle_alpha 90.00
_cell_angle_beta 90.00
_cell_angle_gamma 90.00
loop_
_symmetry_equiv_pos_as_xyz
'x,y,z'
loop_
_atom_site_label
_atom_site_type_symbol
_atom_site_fract_x
_atom_site_fract_y
_atom_site_fract_z
Pb1 Pb 0.000 0.000 0.776
Pb2 Pb 0.000 0.000 0.224
Sn1 Sn 0.500 0.500 0.500
Ag1 Ag 0.500 0.500 0.000
```

## Properties
As for the total energy: -3.5012 eV/atom. The symmetry is No. 123. The formation energy comes out at 0.27 eV/f.u.

---

12.
The following is a DFT calculation (PBE) of crystalline AgSnPb at its relaxed geometry.

Geometry as CIF:
```
data_AgSnPb
_chemical_formula_sum 'Ag2 Sn2 Pb2'
_symmetry_space_group_name_H-M 'P 1'
_symmetry_Int_Tables_number 1
_cell_length_a 3.901
_cell_length_b 6.373
_cell_length_c 7.288
_cell_angle_alpha 115.34
_cell_angle_beta 105.09
_cell_angle_gamma 90.47
loop_
_symmetry_equiv_pos_as_xyz
'x,y,z'
loop_
_atom_site_label
_atom_site_type_symbol
_atom_site_fract_x
_atom_site_fract_y
_atom_site_fract_z
Ag1 Ag 0.103 0.470 0.834
Ag2 Ag 0.342 0.720 0.314
Sn1 Sn 0.722 0.336 0.081
Sn2 Sn 0.723 0.854 0.066
Pb1 Pb 0.018 0.900 0.674
Pb2 Pb 0.426 0.290 0.473
```

## Properties
As for the total energy: -3.4632 eV/atom. The symmetry is No. 2. The formation energy comes out at 0.17 eV/f.u.